Computed, not measured: a relaxed structure of Pm4NiRu at the PBE level of DFT.

The value obtained for the polymorph energy (0 for the lowest one) is 0.00 eV per formula unit. The calculation puts the density of states at the Fermi level at 9.235 states/eV per cell. The formation energy is -0.88 eV per formula unit. Its symmetry is I4_1md, No. 109.

a b c (Å): 7.807 7.807 7.807
angles (deg): 106.56 106.56 115.46
Atoms (fractional coordinates):
Pm: 0.197 0.499 0.698
Pm: 0.249 0.051 0.802
Pm: 0.249 0.447 0.198
Pm: 0.300 0.000 0.300
Pm: 0.700 0.000 0.700
Pm: 0.750 0.550 0.800
Pm: 0.750 0.950 0.200
Pm: 0.801 0.499 0.302
Ni: 0.249 0.749 0.500
Ni: 0.499 0.499 0.000
Ru: 0.001 0.001 0.000
Ru: 0.751 0.251 0.500

=====

Computed, not measured: a relaxed structure of PmNd3Ir2 at the PBE level of DFT.

The value obtained for the polymorph energy (0 for the lowest one) is 0.00 eV per formula unit. The calculation puts the density of states at the Fermi level at 10.256 states/eV per cell. The formation energy is -3.41 eV per formula unit. Its symmetry is Pmc2_1, No. 26.

a b c (Å): 4.842 9.025 7.377
angles (deg): 90.00 90.00 90.00
Atoms (fractional coordinates):
Pm: 0.000 0.088 0.000
Pm: 0.000 0.912 0.500
Nd: 0.000 0.338 0.637
Nd: 0.000 0.662 0.137
Nd: 0.500 0.160 0.357
Nd: 0.500 0.412 0.994
Nd: 0.500 0.588 0.494
Nd: 0.500 0.840 0.857
Ir: 0.000 0.331 0.240
Ir: 0.000 0.669 0.740
Ir: 0.500 0.167 0.755
Ir: 0.500 0.833 0.255

=====

Computed, not measured: a relaxed structure of Sm2ScCrS6 at the PBE level of DFT.

Its symmetry is P2_1/c, No. 14.

a b c (Å): 6.354 6.989 11.181
angles (deg): 90.00 123.42 90.00
Atoms (fractional coordinates):
Sm: 0.207 0.101 0.247
Sm: 0.207 0.399 0.747
Sm: 0.793 0.601 0.253
Sm: 0.793 0.899 0.753
Sc: 0.500 0.000 0.000
Sc: 0.500 0.500 0.500
Cr: 0.000 0.000 0.500
Cr: 0.000 0.500 0.000
S: 0.112 0.194 0.942
S: 0.112 0.306 0.442
S: 0.256 0.681 0.942
S: 0.256 0.819 0.442
S: 0.364 0.030 0.741
S: 0.364 0.470 0.241
S: 0.636 0.530 0.759
S: 0.636 0.970 0.259
S: 0.744 0.181 0.558
S: 0.744 0.319 0.058
S: 0.888 0.694 0.558
S: 0.888 0.806 0.058

=====

Computed, not measured: a relaxed structure of NdH2ClO2 at the PBE level of DFT.

The value obtained for the polymorph energy (0 for the lowest one) is 0.87 eV per formula unit. The calculation puts the density of states at the Fermi level at 0.000 states/eV per cell. Its symmetry is P2_1/m, No. 11.

a b c (Å): 5.801 3.946 7.109
angles (deg): 90.00 99.45 90.00
Atoms (fractional coordinates):
Nd: 0.085 0.250 0.303
Nd: 0.915 0.750 0.697
H: 0.383 0.548 0.668
H: 0.383 0.952 0.668
H: 0.617 0.048 0.332
H: 0.617 0.452 0.332
Cl: 0.256 0.750 0.053
Cl: 0.744 0.250 0.947
O: 0.111 0.250 0.634
O: 0.466 0.750 0.628
O: 0.534 0.250 0.372
O: 0.889 0.750 0.366

=====

Number 1: total DFT energy (no corrections) -5.82 eV per atom. Number 2: total DFT energy (no corrections) -6.70 eV per atom. Number 3: total DFT energy (no corrections) -6.70 eV per atom. Number 4: total DFT energy (no corrections) -5.81 eV per atom.